No. 1
MnBeNb4 after structural relaxation, computed with PBE.

abc: 4.9972 4.9972 4.9972
angles: 104.16 104.16 120.72
With the nearest neighbours (Å) after each atom.
Positions (direct):
Mn  0.0000  0.0000  0.0000  2 Be 2.47, 8 Nb 2.61
Be  0.5000  0.5000  0.0000  2 Mn 2.47, 8 Nb 2.61
Nb  0.0871  0.9129  0.5000  2 Mn 2.61, 2 Be 2.61, 3 Nb 2.83-2.90
Nb  0.4129  0.5871  0.5000  2 Be 2.61, 2 Mn 2.61, 3 Nb 2.83-2.90
Nb  0.5871  0.0871  0.1742  2 Be 2.61, 2 Mn 2.61, 3 Nb 2.83-2.90
Nb  0.9129  0.4129  0.8258  2 Mn 2.61, 2 Be 2.61, 3 Nb 2.83-2.90

DFT formation energy (eV/atom): -0.063
Total magnetization (μB/cell): 0.0
SG: I422
DOS(E_F) (states/eV/f.u.): 5.86

=====

No. 2
U2Sb2Ru3 after structural relaxation, computed with PBE.

abc: 7.2249 7.2249 7.2249
angles: 109.47 109.47 109.47
With the nearest neighbours (Å) after each atom.
Positions (direct):
U  0.0000  0.0297  0.5000  6 Ru 2.73-3.00, 1 Sb 3.01
U  0.0297  0.5000  0.0000  6 Ru 2.73-3.00, 1 Sb 3.01
U  0.4703  0.4703  0.4703  6 Ru 2.73-3.00, 1 Sb 3.01
U  0.5000  0.0000  0.0297  6 Ru 2.73-3.00, 1 Sb 3.01
Sb  0.0000  0.6128  0.5000  3 Ru 2.65
Sb  0.5000  0.0000  0.6128  3 Ru 2.65
Sb  0.6128  0.5000  0.0000  3 Ru 2.65
Sb  0.8872  0.8872  0.8872  3 Ru 2.65
Ru  0.0073  0.2500  0.2573  2 Sb 2.65, 2 U 2.73, 4 Ru 2.91
Ru  0.2427  0.4927  0.7500  2 Sb 2.65, 2 U 2.73, 4 Ru 2.91
Ru  0.2500  0.2573  0.0073  2 Sb 2.65, 2 U 2.73, 4 Ru 2.91
Ru  0.2573  0.0073  0.2500  2 Sb 2.65, 2 U 2.73, 4 Ru 2.91
Ru  0.4927  0.7500  0.2427  2 Sb 2.65, 2 U 2.73, 4 Ru 2.91
Ru  0.7500  0.2427  0.4927  2 Sb 2.65, 2 U 2.73, 4 Ru 2.91

Raw formation energy (eV/f.u.): -1.85
Total magnetization (μB/cell): 4.4
Polymorph energy (0 for the lowest one) (eV per formula unit): 0.00
SG: I2_13
DOS(E_F) (states/eV/f.u.): 10.64

=====

No. 3
PuSbPd after structural relaxation, computed with PBE.

abc: 4.6249 4.6249 3.7960
angles: 90.00 90.00 120.00
With the nearest neighbours (Å) after each atom.
Positions (direct):
Pu  0.0000  0.0000  0.0000  6 Pd 3.28, 6 Sb 3.28
Sb  0.6667  0.3333  0.5000  3 Pd 2.67
Pd  0.3333  0.6667  0.5000  3 Sb 2.67

Raw formation energy (eV/f.u.): -1.98
Total magnetization (μB/cell): 5.3
SG: P-6m2
DOS(E_F) (states/eV/f.u.): 13.47

=====

No. 4
PuMgSi3 after structural relaxation, computed with PBE.

abc: 12.0185 12.0185 3.9270
angles: 90.00 90.00 160.76
With the nearest neighbours (Å) after each atom.
Positions (direct):
Pu  0.0766  0.9234  0.7500  12 Si 3.02-3.18
Pu  0.9234  0.0766  0.2500  12 Si 3.02-3.18
Mg  0.2053  0.7947  0.2500  7 Si 2.70-2.87
Mg  0.7947  0.2053  0.7500  7 Si 2.70-2.87
Si  0.3191  0.6809  0.2500  2 Si 2.39
Si  0.3766  0.6234  0.7500  3 Si 2.33-2.39
Si  0.4749  0.5251  0.7500  3 Si 2.30-2.33
Si  0.5251  0.4749  0.2500  3 Si 2.30-2.33
Si  0.6234  0.3766  0.2500  3 Si 2.33-2.39
Si  0.6809  0.3191  0.7500  2 Si 2.39

Raw formation energy (eV/f.u.): -1.42
Total magnetization (μB/cell): 10.9
SG: Cmcm
DOS(E_F) (states/eV/f.u.): 8.88

=====

No. 5
V3SiC after structural relaxation, computed with PBE.

abc: 4.0839 3.9595 7.3925
angles: 90.00 90.00 90.00
With the nearest neighbours (Å) after each atom.
Positions (direct):
V  0.2500  0.0000  0.0940  1 C 2.00
V  0.2500  0.0000  0.6333  3 C 1.98-2.04
V  0.2500  0.5000  0.3676  2 C 1.98
V  0.7500  0.0000  0.3667  3 C 1.98-2.04
V  0.7500  0.0000  0.9060  1 C 2.00
V  0.7500  0.5000  0.6324  2 C 1.98
Si  0.2500  0.5000  0.8661  10 V 2.60-2.86, 2 Si 2.84
Si  0.7500  0.5000  0.1339  10 V 2.60-2.86, 2 Si 2.84
C  0.2500  0.0000  0.3649  6 V 1.98-2.04
C  0.7500  0.0000  0.6351  6 V 1.98-2.04

Raw formation energy (eV/f.u.): -1.70
Total magnetization (μB/cell): 0.0
SG: Pmma
DOS(E_F) (states/eV/f.u.): 5.13

=====

No. 6
La2Pm7Tm2 after structural relaxation, computed with PBE.

abc: 7.0131 7.0131 9.5173
angles: 90.05 90.05 57.14
With the nearest neighbours (Å) after each atom.
Positions (direct):
La  0.2504  0.7496  0.0000  2 La 3.35-3.36, 6 Pm 3.49-3.55
La  0.7496  0.2504  0.0000  2 La 3.35-3.36, 6 Pm 3.49-3.55
Pm  0.0000  0.0000  0.3215  2 Tm 3.31, 1 Pm 3.40, 2 La 3.49
Pm  0.0000  0.0000  0.6785  2 Tm 3.31, 1 Pm 3.40, 2 La 3.49
Pm  0.0003  0.5001  0.1859  5 Pm 3.35-3.74, 2 Tm 3.44, 2 La 3.55
Pm  0.9997  0.4999  0.8141  5 Pm 3.35-3.74, 2 Tm 3.44, 2 La 3.55
Pm  0.5001  0.0003  0.1859  5 Pm 3.35-3.74, 2 Tm 3.44, 2 La 3.55
Pm  0.4999  0.9997  0.8141  5 Pm 3.35-3.74, 2 Tm 3.44, 2 La 3.55
Pm  0.5000  0.5000  0.5000  2 Tm 3.32
Tm  0.2305  0.2305  0.5001  7 Pm 3.31-3.44, 2 Tm 3.39
Tm  0.7695  0.7695  0.4999  7 Pm 3.31-3.44, 2 Tm 3.39

DFT formation energy (eV/atom): 0.323
Total magnetization (μB/cell): 0.0
Polymorph energy (0 for the lowest one) (eV per formula unit): 1.99
SG: C2/m
DOS(E_F) (states/eV/f.u.): 20.80

=====

No. 7
HfTlAu2 after structural relaxation, computed with PBE.

abc: 6.2746 6.2746 6.2746
angles: 103.49 103.49 122.23
With the nearest neighbours (Å) after each atom.
Positions (direct):
Hf  0.0000  0.0000  0.0000  4 Au 2.74, 2 Tl 3.03
Hf  0.7500  0.2500  0.5000  4 Au 2.74, 2 Tl 3.03
Tl  0.2500  0.7500  0.5000  4 Au 2.96, 2 Hf 3.03
Tl  0.5000  0.5000  0.0000  4 Au 2.96, 2 Hf 3.03
Au  0.1037  0.6250  0.9787  2 Hf 2.74, 2 Tl 2.96, 2 Au 3.05
Au  0.3750  0.3537  0.4787  2 Hf 2.74, 2 Tl 2.96, 2 Au 3.05
Au  0.6463  0.1250  0.0213  2 Hf 2.74, 2 Tl 2.96, 2 Au 3.05
Au  0.8750  0.8963  0.5213  2 Hf 2.74, 2 Tl 2.96, 2 Au 3.05

DFT formation energy (eV/atom): 0.031
Total magnetization (μB/cell): 0.0
SG: I-42d
DOS(E_F) (states/eV/f.u.): 4.15

=====

No. 8
Pm9Cd2In after structural relaxation, computed with PBE.

abc: 4.9582 4.9582 14.8278
angles: 90.00 90.00 90.00
With the nearest neighbours (Å) after each atom.
Positions (direct):
Pm  0.0000  0.0000  0.0000  8 Pm 3.50, 4 In 3.51
Pm  0.0000  0.0000  0.3344  8 Pm 3.49-3.51, 4 Cd 3.51
Pm  0.0000  0.0000  0.6656  8 Pm 3.49-3.51, 4 Cd 3.51
Pm  0.0000  0.5000  0.1664  2 In 3.50, 8 Pm 3.50-3.51, 2 Cd 3.51
Pm  0.0000  0.5000  0.5000  8 Pm 3.49-3.51, 4 Cd 3.50
Pm  0.0000  0.5000  0.8336  2 In 3.50, 8 Pm 3.50-3.51, 2 Cd 3.51
Pm  0.5000  0.0000  0.1664  2 In 3.50, 8 Pm 3.50-3.51, 2 Cd 3.51
Pm  0.5000  0.0000  0.5000  8 Pm 3.49-3.51, 4 Cd 3.50
Pm  0.5000  0.0000  0.8336  2 In 3.50, 8 Pm 3.50-3.51, 2 Cd 3.51
Cd  0.5000  0.5000  0.3337  12 Pm 3.50-3.51
Cd  0.5000  0.5000  0.6663  12 Pm 3.50-3.51
In  0.5000  0.5000  0.0000  12 Pm 3.50-3.51

DFT formation energy (eV/atom): -0.162
Total magnetization (μB/cell): 0.7
SG: P4/mmm
DOS(E_F) (states/eV/f.u.): 18.94